(1)
Below is crystalline Cs2RbU3Se8 at its relaxed geometry, with properties calculated at the PBE-GGA level.

Results
Uncorrected formation energy   -1194.5 meV per atom
N(E_F)   16.0 states/eV/f.u.
Symmetry   No. 160

Cell: 9.9077 9.9077 9.9077 Å, 51.31 51.31 51.31°
With the nearest neighbours (Å) after each atom.
Fractional positions:
Cs1 0.0000 0.0000 0.0000  4 Se 3.42-3.54
Cs2 0.3623 0.3623 0.3623  6 Se 3.60
Rb1 0.7292 0.7292 0.7292  4 Se 3.33-3.60
U1 0.3627 0.3627 0.8616  6 Se 2.78-2.92
U2 0.3627 0.8616 0.3627  6 Se 2.78-2.92
U3 0.8616 0.3627 0.3627  6 Se 2.78-2.92
Se1 0.1020 0.1020 0.5534  2 U 2.78
Se2 0.1020 0.5534 0.1020  2 U 2.78
Se3 0.1376 0.1376 0.1376  3 U 2.90
Se4 0.1687 0.6229 0.6229  2 U 2.79
Se5 0.5534 0.1020 0.1020  2 U 2.78
Se6 0.5892 0.5892 0.5892  3 U 2.92
Se7 0.6229 0.1687 0.6229  2 U 2.79
Se8 0.6229 0.6229 0.1687  2 U 2.79

---

(2)
Below is crystalline CsRbUSe3 at its relaxed geometry, with properties calculated at the PBE-GGA level.

Results
Uncorrected formation energy   -1190.6 meV per atom
N(E_F)   7.5 states/eV/f.u.
Symmetry   No. 15

Cell: 9.2191 9.2191 7.6073 Å, 95.26 95.26 126.96°
With the nearest neighbours (Å) after each atom.
Fractional positions:
Cs1 0.2422 0.7578 0.7500  6 Se 3.83-4.18
Cs2 0.7578 0.2422 0.2500  6 Se 3.83-4.18
Rb1 0.4155 0.5845 0.2500  5 Se 3.33-3.41
Rb2 0.5845 0.4155 0.7500  5 Se 3.33-3.41
U1 0.0513 0.9487 0.2500  5 Se 2.67-2.82
U2 0.9487 0.0513 0.7500  5 Se 2.67-2.82
Se1 0.1707 0.2562 0.5042  2 U 2.80-2.82
Se2 0.2134 0.7866 0.2500  1 U 2.67
Se3 0.2562 0.1707 0.0042  2 U 2.80-2.82
Se4 0.7438 0.8293 0.9958  2 U 2.80-2.82
Se5 0.7866 0.2134 0.7500  1 U 2.67
Se6 0.8293 0.7438 0.4958  2 U 2.80-2.82

---

(3)
Below is crystalline Cs2Rb3USe6 at its relaxed geometry, with properties calculated at the PBE-GGA level.

Results
Uncorrected formation energy   -1114.1 meV per atom
N(E_F)   13.1 states/eV/f.u.
Symmetry   No. 12

Cell: 8.5900 8.5900 8.1755 Å, 100.77 100.77 119.32°
With the nearest neighbours (Å) after each atom.
Fractional positions:
Cs1 0.1660 0.8340 0.0000  6 Se 3.59-3.66
Cs2 0.8340 0.1660 0.0000  6 Se 3.59-3.66
Rb1 0.0000 0.0000 0.5000  4 Se 3.40
Rb2 0.3302 0.6698 0.5000  4 Se 3.45-3.46
Rb3 0.6698 0.3302 0.5000  4 Se 3.45-3.46
U1 0.5000 0.5000 0.0000  6 Se 2.70-2.73
Se1 0.1711 0.4310 0.7897  1 U 2.73
Se2 0.3154 0.3154 0.2030  1 U 2.70
Se3 0.4310 0.1711 0.7897  1 U 2.73
Se4 0.5690 0.8289 0.2103  1 U 2.73
Se5 0.6846 0.6846 0.7970  1 U 2.70
Se6 0.8289 0.5690 0.2103  1 U 2.73

---

(4)
Below is crystalline Cs2Rb2USe6 at its relaxed geometry, with properties calculated at the PBE-GGA level.

Results
Uncorrected formation energy   -990.9 meV per atom
N(E_F)   7.2 states/eV/f.u.
Symmetry   No. 12

Cell: 8.1893 8.1893 8.6481 Å, 100.74 100.74 115.62°
With the nearest neighbours (Å) after each atom.
Fractional positions:
Cs1 0.1854 0.8146 0.0000  6 Se 3.62-3.91
Cs2 0.8146 0.1854 0.0000  6 Se 3.62-3.91
Rb1 0.3446 0.6554 0.5000  6 Se 3.46-3.60
Rb2 0.6554 0.3446 0.5000  6 Se 3.46-3.60
U1 0.0000 0.0000 0.5000  6 Se 2.69
Se1 0.0631 0.3322 0.6943  1 U 2.69
Se2 0.1800 0.1800 0.3037  1 U 2.69
Se3 0.3322 0.0631 0.6943  1 U 2.69
Se4 0.6678 0.9369 0.3057  1 U 2.69
Se5 0.8200 0.8200 0.6963  1 U 2.69
Se6 0.9369 0.6678 0.3057  1 U 2.69

---

(5)
Below is crystalline CsRbVSe3 at its relaxed geometry, with properties calculated at the PBE-GGA level.

Results
Uncorrected formation energy   -846.0 meV per atom
Symmetry   No. 12

Cell: 7.4201 7.4201 9.5898 Å, 109.27 109.27 68.97°
With the nearest neighbours (Å) after each atom.
Fractional positions:
Cs1 0.1734 0.1734 0.1919  7 Se 3.67-3.99
Cs2 0.8266 0.8266 0.8081  7 Se 3.67-3.99
Rb1 0.2390 0.7610 0.5000  2 Se 3.32
Rb2 0.7610 0.2390 0.5000  2 Se 3.32
V1 0.4807 0.4807 0.8510  3 Se 2.25-2.33
V2 0.5193 0.5193 0.1490  3 Se 2.25-2.33
Se1 0.1883 0.6272 0.1264  1 V 2.25
Se2 0.2961 0.2961 0.6451  1 V 2.33
Se3 0.3728 0.8117 0.8736  1 V 2.25
Se4 0.6272 0.1883 0.1264  1 V 2.25
Se5 0.7039 0.7039 0.3549  1 V 2.33
Se6 0.8117 0.3728 0.8736  1 V 2.25

---

(6)
Below is crystalline CsRbVSe4 at its relaxed geometry, with properties calculated at the PBE-GGA level.

Results
Uncorrected formation energy   -878.7 meV per atom
N(E_F)   1.8 states/eV/f.u.
Symmetry   No. 11

Cell: 8.1070 6.1649 11.3820 Å, 90.00 101.81 90.00°
With the nearest neighbours (Å) after each atom.
Fractional positions:
Cs1 0.2479 0.2500 0.4787  7 Se 3.67-3.80
Cs2 0.7521 0.7500 0.5213  7 Se 3.67-3.80
Rb1 0.2757 0.2500 0.9380  6 Se 3.43-3.69
Rb2 0.7243 0.7500 0.0620  6 Se 3.43-3.69
V1 0.2664 0.7500 0.2061  4 Se 2.24-2.34
V2 0.7336 0.2500 0.7939  4 Se 2.24-2.34
Se1 0.0738 0.7500 0.3263  1 V 2.28
Se2 0.1421 0.7500 0.0113  1 V 2.24
Se3 0.4723 0.0200 0.2526  1 V 2.34
Se4 0.4723 0.4800 0.2526  1 V 2.34
Se5 0.5277 0.5200 0.7474  1 V 2.34
Se6 0.5277 0.9800 0.7474  1 V 2.34
Se7 0.8579 0.2500 0.9887  1 V 2.24
Se8 0.9262 0.2500 0.6737  1 V 2.28

---

(7)
Below is crystalline CsRb2WSe4 at its relaxed geometry, with properties calculated at the PBE-GGA level.

Results
Uncorrected formation energy   -803.1 meV per atom
N(E_F)   4.8 states/eV/f.u.
Symmetry   No. 82

Cell: 7.6291 7.6291 7.6291 Å, 108.74 108.74 110.95°
With the nearest neighbours (Å) after each atom.
Fractional positions:
Cs1 0.0000 0.0000 0.0000  4 Se 3.54
Rb1 0.5000 0.5000 0.0000  4 Se 3.37
Rb2 0.7500 0.2500 0.5000  4 Se 3.57
W1 0.2500 0.7500 0.5000  4 Se 2.39
Se1 0.2562 0.0696 0.5152  1 W 2.39
Se2 0.2590 0.7438 0.8133  1 W 2.39
Se3 0.5544 0.7410 0.4848  1 W 2.39
Se4 0.9304 0.4456 0.1867  1 W 2.39

---

(8)
Below is crystalline Cs3Rb2WSe6 at its relaxed geometry, with properties calculated at the PBE-GGA level.

Results
Uncorrected formation energy   -748.7 meV per atom
N(E_F)   14.7 states/eV/f.u.
Symmetry   No. 12

Cell: 8.2528 8.2528 8.3143 Å, 99.90 99.90 119.29°
With the nearest neighbours (Å) after each atom.
Fractional positions:
Cs1 0.0000 0.0000 0.0000  4 Se 3.49
Cs2 0.3234 0.6766 0.0000  4 Se 3.54-3.56
Cs3 0.6766 0.3234 0.0000  4 Se 3.54-3.56
Rb1 0.1650 0.8350 0.5000  6 Se 3.46-3.48
Rb2 0.8350 0.1650 0.5000  6 Se 3.46-3.48
W1 0.5000 0.5000 0.5000  6 Se 2.54-2.57
Se1 0.1819 0.4377 0.3125  1 W 2.57
Se2 0.3163 0.3163 0.6893  1 W 2.54
Se3 0.4377 0.1819 0.3125  1 W 2.57
Se4 0.5623 0.8181 0.6875  1 W 2.57
Se5 0.6837 0.6837 0.3107  1 W 2.54
Se6 0.8181 0.5623 0.6875  1 W 2.57

---

(9)
Below is crystalline CsRb2ZnSe at its relaxed geometry, with properties calculated at the PBE-GGA level.

Results
Uncorrected formation energy   414.1 meV per atom
N(E_F)   4.9 states/eV/f.u.
Symmetry   No. 123

Cell: 7.3998 7.3998 6.3352 Å, 90.00 90.00 90.00°
With the nearest neighbours (Å) after each atom.
Fractional positions:
Cs1 0.0000 0.0000 0.0000  2 Zn 3.17
Rb1 0.0000 0.5000 0.0000  2 Cs 3.70
Rb2 0.5000 0.0000 0.0000  2 Cs 3.70
Zn1 0.0000 0.0000 0.5000  2 Cs 3.17
Se1 0.5000 0.5000 0.5000  8 Rb 4.87, 4 Zn 5.23

---

(10)
Below is crystalline CsRbZrSe3 at its relaxed geometry, with properties calculated at the PBE-GGA level.

Results
Uncorrected formation energy   -1351.4 meV per atom
N(E_F)   0.0 states/eV/f.u.
Symmetry   No. 15

Cell: 9.0093 9.0093 7.2837 Å, 95.78 95.78 126.29°
With the nearest neighbours (Å) after each atom.
Fractional positions:
Cs1 0.2404 0.7596 0.7500  4 Se 3.69-3.89
Cs2 0.7596 0.2404 0.2500  4 Se 3.69-3.89
Rb1 0.4107 0.5893 0.2500  5 Se 3.33-3.38
Rb2 0.5893 0.4107 0.7500  5 Se 3.33-3.38
Zr1 0.0466 0.9534 0.2500  5 Se 2.53-2.75
Zr2 0.9534 0.0466 0.7500  5 Se 2.53-2.75
Se1 0.1688 0.2515 0.5019  2 Zr 2.63-2.75
Se2 0.2037 0.7963 0.2500  1 Zr 2.53
Se3 0.2515 0.1688 0.0019  2 Zr 2.63-2.75
Se4 0.7485 0.8312 0.9981  2 Zr 2.63-2.75
Se5 0.7963 0.2037 0.7500  1 Zr 2.53
Se6 0.8312 0.7485 0.4981  2 Zr 2.63-2.75

---

(11)
Below is crystalline CsRbSi2 at its relaxed geometry, with properties calculated at the PBE-GGA level.

Results
Uncorrected formation energy   919.5 meV per atom
N(E_F)   1.7 states/eV/f.u.
Symmetry   No. 225

Cell: 5.9145 5.9145 5.9145 Å, 60.00 60.00 60.00°
With the nearest neighbours (Å) after each atom.
Fractional positions:
Cs1 0.0000 0.0000 0.0000  8 Si 3.62
Rb1 0.5000 0.5000 0.5000  8 Si 3.62
Si1 0.2500 0.2500 0.2500  4 Rb 3.62, 4 Cs 3.62
Si2 0.7500 0.7500 0.7500  4 Rb 3.62, 4 Cs 3.62

---

(12)
Below is crystalline CsRbSi2 at its relaxed geometry, with properties calculated at the PBE-GGA level.

Results
Uncorrected formation energy   914.0 meV per atom
N(E_F)   1.4 states/eV/f.u.
Symmetry   No. 122

Cell: 7.7853 7.7853 7.7853 Å, 98.71 98.71 134.21°
With the nearest neighbours (Å) after each atom.
Fractional positions:
Cs1 0.0000 0.0000 0.0000  2 Rb 3.03
Cs2 0.7500 0.2500 0.5000  2 Rb 3.03
Rb1 0.2500 0.7500 0.5000  2 Cs 3.03
Rb2 0.5000 0.5000 0.0000  2 Cs 3.03
Si1 0.1282 0.6250 0.0032  2 Si 3.03
Si2 0.3750 0.3782 0.5032  2 Si 3.03
Si3 0.6218 0.1250 0.9968  2 Si 3.03
Si4 0.8750 0.8718 0.4968  2 Si 3.03